Compound: Pr5Pu3S8
Source: the Alexandria database
Functional: PBE
Structure: optimized geometry

Magnetic moment ... 16.793 μB/cell
Space-group type ... No. 166
Formation energy from raw total energies ... -1937 meV per atom
Raw total energy ... -130.9 eV/f.u.

The structure in extended XYZ format:
```
16
Lattice="7.0139 0.0000 4.0176 2.3563 6.6063 4.0176 0.0056 0.0040 8.1214" Properties=species:S:1:pos:R:3 pbc="T T T"
Pr 1.1782 3.3031 2.0088
S 2.3460 1.6540 8.0272
S 7.0754 4.9884 12.0415
S 2.3004 1.6219 4.1151
S 3.5456 5.0173 10.0726
Pr 3.5070 0.0000 2.0088
S 5.9168 1.6540 10.0726
Pu 3.5098 0.0020 6.0695
S 7.0299 4.9562 8.1294
Pu 0.0028 0.0020 4.0607
Pr 4.6879 3.3051 8.0783
S 3.4590 4.9562 6.0840
Pr 0.0000 0.0000 0.0000
Pr 4.6851 3.3031 4.0176
Pu 1.1810 3.3051 6.0695
S 5.8303 1.5930 6.0840
```